# AlCdGa

A geometry-optimized AlCdGa structure (GGA-PBE, Alexandria via LeMat-Bulk).

Structure (extended XYZ):
```
6
Lattice="-3.264 -3.411 1.965 6.354 -1.812 4.870 -1.363 1.321 2.279" Properties=species:S:1:pos:R:3 pbc="T T T"
Al 5.377 -2.257 5.652
Al 1.711 -2.817 7.648
Ga -1.982 -2.013 3.025
Ga 0.307 -0.253 3.356
Cd 2.534 -1.166 5.253
Cd -0.528 -1.960 5.825
```

Magnetic moment (μB per formula unit): 0.0
Calculated formation energy (eV/atom): 0.077
ΔE to the lowest computed polymorph (meV/atom): 22.2
Space-group type: P1, No. 1
Total DFT energy (no corrections) (Ry/atom): -0.1826

***

# AlCdGa2

A geometry-optimized AlCdGa2 structure (GGA-PBE, Alexandria via LeMat-Bulk).

Structure (extended XYZ):
```
4
Lattice="2.936 0.000 0.000 0.000 2.936 0.000 0.000 0.000 8.992" Properties=species:S:1:pos:R:3 pbc="T T T"
Al 1.468 1.468 0.000
Ga 0.000 0.000 6.883
Ga 0.000 0.000 2.109
Cd 1.468 1.468 4.496
```

Magnetic moment (μB per formula unit): 0.0
Calculated formation energy (eV/atom): 0.064
ΔE to the lowest computed polymorph (meV/atom): 25.5
Space-group type: P4/mmm, No. 123
Total DFT energy (no corrections) (Ry/atom): -0.1921

***

# AlCdGa2I

A geometry-optimized AlCdGa2I structure (GGA-PBE, Alexandria via LeMat-Bulk).

Structure (extended XYZ):
```
5
Lattice="5.946 0.000 0.000 0.000 5.898 0.000 0.000 0.000 5.946" Properties=species:S:1:pos:R:3 pbc="T T T"
I 0.000 0.000 0.000
Al 0.000 2.949 0.000
Ga 0.000 0.000 2.973
Ga 2.973 0.000 0.000
Cd 2.973 2.949 2.973
```

Magnetic moment (μB per formula unit): 0.0
E_form (uncorrected) (eV per atom): 0.73
Space-group type: P4/mmm, No. 123
Total DFT energy (no corrections) (Ry/atom): -0.1265

***

# AlCd2GaIr

A geometry-optimized AlCd2GaIr structure (GGA-PBE, Alexandria via LeMat-Bulk).

Structure (extended XYZ):
```
5
Lattice="5.001 0.000 0.000 0.000 4.687 0.000 0.000 0.000 5.001" Properties=species:S:1:pos:R:3 pbc="T T T"
Ir 0.000 2.344 0.000
Al 2.500 2.344 2.500
Ga 0.000 0.000 0.000
Cd 0.000 0.000 2.500
Cd 2.500 0.000 0.000
```

Magnetic moment (μB per formula unit): 0.0
Calculated formation energy (eV/atom): 0.728
Space-group type: P4/mmm, No. 123
Total DFT energy (no corrections) (Ry/atom): -0.2031

***

# La2Al4CdGa3

A geometry-optimized La2Al4CdGa3 structure (GGA-PBE, Alexandria via LeMat-Bulk).

Structure (extended XYZ):
```
10
Lattice="-3.643 2.076 -1.311 -2.455 -3.132 1.863 -0.136 5.732 9.455" Properties=species:S:1:pos:R:3 pbc="T T T"
La -1.855 2.459 1.689
La -1.329 2.745 8.043
Al -3.049 -0.528 0.276
Al 0.000 0.000 0.000
Al -1.909 4.705 5.394
Al -1.276 0.499 4.338
Cd -3.117 2.338 5.004
Ga -0.068 2.866 4.728
Ga -1.940 6.010 7.548
Ga -1.245 -0.807 2.184
```

Magnetic moment (μB per formula unit): 0.0
Calculated formation energy (eV/atom): -0.422
Space-group type: P-4m2, No. 115
Total DFT energy (no corrections) (Ry/atom): -0.2869

***

# LaAlCdGa2

A geometry-optimized LaAlCdGa2 structure (GGA-PBE, Alexandria via LeMat-Bulk).

Structure (extended XYZ):
```
5
Lattice="4.380 0.000 0.000 0.000 4.380 0.000 -2.190 -2.190 5.672" Properties=species:S:1:pos:R:3 pbc="T T T"
La 0.000 0.000 0.000
Al 2.190 0.000 2.836
Cd 0.000 2.190 2.836
Ga 2.190 2.190 1.245
Ga 0.000 0.000 4.427
```

Magnetic moment (μB per formula unit): 0.0
Calculated formation energy (eV/atom): -0.447
Space-group type: I-4m2, No. 119
Total DFT energy (no corrections) (Ry/atom): -0.2628

***

# Li2AlCdGa

A geometry-optimized Li2AlCdGa structure (GGA-PBE, Alexandria via LeMat-Bulk).

Structure (extended XYZ):
```
5
Lattice="4.889 0.000 0.000 0.000 4.987 0.000 0.000 0.000 4.889" Properties=species:S:1:pos:R:3 pbc="T T T"
Li 0.000 0.000 2.444
Li 2.444 0.000 0.000
Al 2.444 2.493 2.444
Ga 0.000 0.000 0.000
Cd 0.000 2.493 0.000
```

Magnetic moment (μB per formula unit): 0.0
Calculated formation energy (eV/atom): 0.304
Space-group type: P4/mmm, No. 123
Total DFT energy (no corrections) (Ry/atom): -0.1469

***

# MnAl2CdGa

A geometry-optimized MnAl2CdGa structure (GGA-PBE, Alexandria via LeMat-Bulk).

Structure (extended XYZ):
```
5
Lattice="4.702 0.000 0.000 0.000 4.950 0.000 0.000 0.000 4.702" Properties=species:S:1:pos:R:3 pbc="T T T"
Mn 2.351 2.475 2.351
Al 0.000 0.000 2.351
Al 2.351 0.000 0.000
Ga 0.000 0.000 0.000
Cd 0.000 2.475 0.000
```

Magnetic moment (μB per formula unit): 4.4
Calculated formation energy (eV/atom): 0.830
Space-group type: P4/mmm, No. 123
Total DFT energy (no corrections) (Ry/atom): -0.2418